Entry 1:
{
  "formula": "SrTc2Mo",
  "functional": "PBE",
  "state": "relaxed",
  "mass_density_g_cm3": 8.64,
  "e_above_lowest_polymorph_ev_per_atom": 0.188,
  "formation_energy_kj_per_mol_atoms": 66.6,
  "cell": [[-0.277, 2.499, -1.395], [-2.347, -1.624, -0.354], [-3.837, 3.868, 7.695]],
  "species": ["Tc", "Tc", "Mo", "Sr"],
  "frac_coords": [[0.000, 0.000, 0.036], [0.000, 0.000, 0.464], [0.500, 0.500, 0.250], [0.500, 0.500, 0.750]]
}

=====

Entry 2:
{
  "formula": "AsPd12Pb3",
  "functional": "PBE",
  "state": "relaxed",
  "mass_density_g_cm3": 12.12,
  "formation_energy_kj_per_mol_atoms": -25.4,
  "cell": [[4.086, 0.000, 0.000], [0.000, 4.086, 0.000], [0.000, 0.000, 16.197]],
  "species": ["Pd", "Pd", "Pd", "Pd", "Pd", "Pd", "As", "Pb", "Pd", "Pb", "Pd", "Pd", "Pd", "Pd", "Pb", "Pd"],
  "frac_coords": [[0.000, 0.500, 0.372], [0.500, 0.000, 0.372], [0.500, 0.500, 0.000], [0.000, 0.500, 0.885], [0.500, 0.000, 0.628], [0.000, 0.500, 0.628], [0.000, 0.000, 0.000], [0.000, 0.000, 0.500], [0.500, 0.000, 0.885], [0.000, 0.000, 0.755], [0.500, 0.500, 0.757], [0.000, 0.500, 0.115], [0.500, 0.500, 0.500], [0.500, 0.500, 0.243], [0.000, 0.000, 0.245], [0.500, 0.000, 0.115]]
}

=====

Entry 3:
{
  "formula": "LaPr3Ho2Se6",
  "functional": "PBE",
  "state": "relaxed",
  "mass_density_g_cm3": 7.19,
  "raw_formation_energy_ev_per_atom": -1.83,
  "cell": [[7.260, -0.013, -0.004], [-3.639, 6.282, -0.004], [-1.211, -2.097, 6.926]],
  "species": ["Se", "Se", "Pr", "La", "Se", "Se", "Pr", "Ho", "Ho", "Pr", "Se", "Se"],
  "frac_coords": [[0.269, 0.269, 0.767], [0.920, 0.574, 0.760], [0.840, 0.160, 0.500], [0.000, 0.000, 0.000], [0.080, 0.426, 0.240], [0.426, 0.080, 0.240], [0.500, 0.500, 0.500], [0.333, 0.667, 0.000], [0.667, 0.333, 0.000], [0.160, 0.840, 0.500], [0.574, 0.920, 0.760], [0.731, 0.731, 0.233]]
}

=====

Entry 4:
{
  "formula": "PmHoAlTc",
  "functional": "PBE",
  "state": "relaxed",
  "mass_density_g_cm3": 8.03,
  "formation_energy_kj_per_mol_atoms": -8.2,
  "cell": [[5.029, 0.000, 0.000], [2.514, 4.355, 0.000], [2.514, 1.452, 4.106]],
  "species": ["Pm", "Tc", "Al", "Ho"],
  "frac_coords": [[0.500, 0.500, 0.500], [0.250, 0.250, 0.250], [0.750, 0.750, 0.750], [0.000, 0.000, 0.000]]
}

=====

Entry 5:
{
  "formula": "NaSi2H6",
  "functional": "PBE",
  "state": "relaxed",
  "mass_density_g_cm3": 1.25,
  "e_tot_ev_per_atom": -3.527,
  "cell": [[-5.677, -1.872, -4.279], [1.330, -5.315, -3.644], [-5.493, -0.947, 3.497]],
  "species": ["H", "H", "Na", "H", "H", "H", "H", "H", "Si", "Na", "H", "Si", "Si", "H", "H", "H", "H", "Si"],
  "frac_coords": [[0.772, 0.423, 0.910], [0.656, 0.440, 0.296], [0.750, 0.065, 0.935], [0.957, 0.837, 0.045], [0.543, 0.955, 0.163], [0.156, 0.296, 0.440], [0.043, 0.163, 0.955], [0.272, 0.910, 0.423], [0.841, 0.458, 0.104], [0.250, 0.935, 0.065], [0.728, 0.090, 0.577], [0.159, 0.542, 0.896], [0.341, 0.104, 0.458], [0.344, 0.560, 0.704], [0.844, 0.704, 0.560], [0.228, 0.577, 0.090], [0.457, 0.045, 0.837], [0.659, 0.896, 0.542]]
}

=====

Entry 6:
{
  "formula": "BeSeCl2",
  "functional": "PBE",
  "state": "relaxed",
  "mass_density_g_cm3": 2.72,
  "raw_formation_energy_ev_per_atom": -0.34,
  "e_above_lowest_polymorph_ev_per_atom": 0.256,
  "cell": [[6.542, 0.000, 0.000], [0.000, 6.542, 0.000], [3.271, 3.271, 4.532]],
  "species": ["Be", "Se", "Cl", "Se", "Be", "Cl", "Cl", "Cl"],
  "frac_coords": [[0.250, 0.750, 0.500], [0.000, 0.000, 0.000], [0.299, 0.625, 0.250], [0.750, 0.250, 0.500], [0.500, 0.500, 0.000], [0.875, 0.701, 0.750], [0.375, 0.549, 0.750], [0.451, 0.125, 0.250]]
}

=====

Entry 7:
{
  "formula": "Ba2PaSe4",
  "functional": "PBE",
  "state": "relaxed",
  "mass_density_g_cm3": 5.48,
  "raw_formation_energy_ev_per_atom": -1.71,
  "e_above_lowest_polymorph_ev_per_atom": 0.000,
  "cell": [[5.512, 0.000, 0.000], [0.000, 5.512, 0.000], [2.756, 2.756, 8.196]],
  "species": ["Se", "Ba", "Ba", "Se", "Pa", "Se", "Se"],
  "frac_coords": [[0.000, 0.500, 0.000], [0.365, 0.365, 0.270], [0.635, 0.635, 0.730], [0.830, 0.830, 0.341], [0.000, 0.000, 0.000], [0.170, 0.170, 0.659], [0.500, 0.000, 0.000]]
}

=====

Entry 8:
{
  "formula": "Ca3Ac3MgS8",
  "functional": "PBE",
  "state": "relaxed",
  "mass_density_g_cm3": 4.45,
  "raw_formation_energy_ev_per_atom": -1.96,
  "cell": [[-6.196, -2.189, 5.135], [0.728, -3.666, -7.456], [5.489, -1.550, 5.963]],
  "species": ["Ac", "S", "Ca", "Ac", "Ca", "S", "S", "S", "S", "Ac", "S", "S", "Ca", "Mg", "S"],
  "frac_coords": [[0.500, 0.000, 0.500], [0.232, 0.008, 0.740], [0.000, 0.000, 0.000], [0.500, 0.500, 0.500], [0.000, 0.500, 0.000], [0.224, 0.992, 0.260], [0.232, 0.464, 0.740], [0.776, 0.008, 0.740], [0.244, 0.488, 0.232], [0.000, 0.500, 0.500], [0.756, 0.512, 0.768], [0.768, 0.992, 0.260], [0.500, 0.500, 0.000], [0.000, 0.000, 0.500], [0.768, 0.536, 0.260]]
}

=====

Entry 9:
{
  "formula": "DyYAgPb",
  "functional": "PBE",
  "state": "relaxed",
  "mass_density_g_cm3": 9.01,
  "formation_energy_kj_per_mol_atoms": -39.4,
  "cell": [[-4.173, 3.209, 0.475], [-4.497, -1.120, -2.541], [-4.249, -1.576, 2.719]],
  "species": ["Y", "Ag", "Pb", "Dy"],
  "frac_coords": [[0.750, 0.750, 0.750], [0.500, 0.500, 0.500], [0.000, 0.000, 0.000], [0.250, 0.250, 0.250]]
}

=====

Entry 10:
{
  "formula": "LiAc3Sn6Pd2",
  "functional": "PBE",
  "state": "relaxed",
  "mass_density_g_cm3": 7.72,
  "formation_energy_kj_per_mol_atoms": -38.3,
  "cell": [[6.859, 0.000, 0.000], [-3.429, 5.940, 0.000], [0.000, 0.000, 8.512]],
  "species": ["Sn", "Sn", "Ac", "Sn", "Ac", "Sn", "Pd", "Li", "Pd", "Sn", "Ac", "Sn"],
  "frac_coords": [[0.186, 0.814, 0.300], [0.373, 0.186, 0.700], [0.000, 0.000, 0.000], [0.627, 0.814, 0.300], [0.667, 0.333, 0.335], [0.814, 0.627, 0.700], [0.667, 0.333, 0.953], [0.000, 0.000, 0.500], [0.333, 0.667, 0.047], [0.814, 0.186, 0.700], [0.333, 0.667, 0.665], [0.186, 0.373, 0.300]]
}

=====

Copy entry 8 word for word.
{
  "formula": "Ca3Ac3MgS8",
  "functional": "PBE",
  "state": "relaxed",
  "mass_density_g_cm3": 4.45,
  "raw_formation_energy_ev_per_atom": -1.96,
  "cell": [[-6.196, -2.189, 5.135], [0.728, -3.666, -7.456], [5.489, -1.550, 5.963]],
  "species": ["Ac", "S", "Ca", "Ac", "Ca", "S", "S", "S", "S", "Ac", "S", "S", "Ca", "Mg", "S"],
  "frac_coords": [[0.500, 0.000, 0.500], [0.232, 0.008, 0.740], [0.000, 0.000, 0.000], [0.500, 0.500, 0.500], [0.000, 0.500, 0.000], [0.224, 0.992, 0.260], [0.232, 0.464, 0.740], [0.776, 0.008, 0.740], [0.244, 0.488, 0.232], [0.000, 0.500, 0.500], [0.756, 0.512, 0.768], [0.768, 0.992, 0.260], [0.500, 0.500, 0.000], [0.000, 0.000, 0.500], [0.768, 0.536, 0.260]]
}